No. 1
Computed, not measured: crystalline Th2MnCo12B3 at its relaxed geometry at the PBE level of DFT.

Properties
As for the space group: R-3m, No. 166. The energy is -126.73 eV/cell.

Unit cell a=6.6333 b=6.6333 c=6.6333 alpha=66.10 beta=66.10 gamma=66.10
With the nearest neighbours (Å) after each atom.
Element x y z (fractional)
Th: 0.6046 0.6046 0.6046  3 Co 2.53
Th: 0.3954 0.3954 0.3954  3 Co 2.53
Mn: 0.0000 0.0000 0.0000  6 Co 2.33
Co: 0.2716 0.2716 0.8824  2 B 1.94
Co: 0.8642 0.8642 0.3991  1 B 1.93
Co: 0.3991 0.8642 0.8642  1 B 1.93
Co: 0.8824 0.2716 0.2716  2 B 1.94
Co: 0.8642 0.3991 0.8642  1 B 1.93
Co: 0.2716 0.8824 0.2716  2 B 1.94
Co: 0.7284 0.7284 0.1176  2 B 1.94
Co: 0.1358 0.1358 0.6009  1 B 1.93
Co: 0.6009 0.1358 0.1358  1 B 1.93
Co: 0.1176 0.7284 0.7284  2 B 1.94
Co: 0.1358 0.6009 0.1358  1 B 1.93
Co: 0.7284 0.1176 0.7284  2 B 1.94
B: 0.5000 0.0000 0.0000  6 Co 1.93-1.94
B: 0.0000 0.5000 0.0000  6 Co 1.93-1.94
B: 0.0000 0.0000 0.5000  6 Co 1.93-1.94



No. 2
Computed, not measured: crystalline Th2MnCo3B12 at its relaxed geometry at the PBE level of DFT.

Properties
As for the space group: R-3m, No. 166. The energy is -125.26 eV/cell.

Unit cell a=8.0146 b=8.0146 c=8.0146 alpha=40.06 beta=40.06 gamma=40.06
With the nearest neighbours (Å) after each atom.
Element x y z (fractional)
Th: 0.6393 0.6393 0.6393  15 B 2.67-2.97
Th: 0.3607 0.3607 0.3607  15 B 2.67-2.97
Mn: 0.0000 0.0000 0.0000  6 B 2.01
Co: 0.5000 0.0000 0.0000  6 B 2.07-2.10
Co: 0.0000 0.5000 0.0000  6 B 2.07-2.10
Co: 0.0000 0.0000 0.5000  6 B 2.07-2.10
B: 0.3408 0.3408 0.0272  4 B 1.72-1.79
B: 0.9470 0.9470 0.3256  2 B 1.79
B: 0.3256 0.9470 0.9470  2 B 1.79
B: 0.0272 0.3408 0.3408  4 B 1.72-1.79
B: 0.9470 0.3256 0.9470  2 B 1.79
B: 0.3408 0.0272 0.3408  4 B 1.72-1.79
B: 0.6592 0.6592 0.9728  4 B 1.72-1.79
B: 0.0530 0.0530 0.6744  2 B 1.79
B: 0.6744 0.0530 0.0530  2 B 1.79
B: 0.9728 0.6592 0.6592  4 B 1.72-1.79
B: 0.0530 0.6744 0.0530  2 B 1.79
B: 0.6592 0.9728 0.6592  4 B 1.72-1.79



No. 3
Computed, not measured: crystalline Ti2Mn5CoB2 at its relaxed geometry at the PBE level of DFT.

Properties
As for the space group: P4/mbm, No. 127. The energy is -170.85 eV/cell.

Unit cell a=2.9721 b=8.5923 c=8.5923 alpha=90.00 beta=90.00 gamma=90.00
With the nearest neighbours (Å) after each atom.
Element x y z (fractional)
Ti: 0.0000 0.6713 0.1713  3 B 2.48-2.57, 10 Mn 2.56-2.73
Ti: 0.0000 0.3287 0.8287  3 B 2.48-2.57, 10 Mn 2.56-2.73
Ti: 0.0000 0.1713 0.3287  3 B 2.48-2.57, 10 Mn 2.56-2.73
Ti: 0.0000 0.8287 0.6713  3 B 2.48-2.57, 10 Mn 2.56-2.73
Mn: 0.5000 0.2116 0.0683  2 B 2.10
Mn: 0.5000 0.7884 0.9317  2 B 2.10
Mn: 0.5000 0.0683 0.7884  2 B 2.10
Mn: 0.5000 0.7116 0.4317  2 B 2.10
Mn: 0.5000 0.9317 0.2116  2 B 2.10
Mn: 0.5000 0.2884 0.5683  2 B 2.10
Mn: 0.5000 0.5683 0.7116  2 B 2.10
Mn: 0.5000 0.4317 0.2884  2 B 2.10
Mn: 0.5000 0.5000 0.0000  4 B 2.12
Mn: 0.5000 0.0000 0.5000  4 B 2.12
Co: 0.0000 0.0000 0.0000  8 Mn 2.42
Co: 0.0000 0.5000 0.5000  8 Mn 2.42
B: 0.0000 0.1245 0.6245  6 Mn 2.10-2.12
B: 0.0000 0.8755 0.3755  6 Mn 2.10-2.12
B: 0.0000 0.6245 0.8755  6 Mn 2.10-2.12
B: 0.0000 0.3755 0.1245  6 Mn 2.10-2.12



No. 4
Computed, not measured: crystalline Tm2MnCo5B2 at its relaxed geometry at the PBE level of DFT.

Properties
As for the space group: P4/mbm, No. 127. The energy is -140.74 eV/cell.

Unit cell a=3.0088 b=8.9701 c=8.9701 alpha=90.00 beta=90.00 gamma=90.00
With the nearest neighbours (Å) after each atom.
Element x y z (fractional)
Tm: 0.0000 0.6778 0.1778  3 B 2.58-2.71, 10 Co 2.71-2.80
Tm: 0.0000 0.3222 0.8222  3 B 2.58-2.71, 10 Co 2.71-2.80
Tm: 0.0000 0.1778 0.3222  3 B 2.58-2.71, 10 Co 2.71-2.80
Tm: 0.0000 0.8222 0.6778  3 B 2.58-2.71, 10 Co 2.71-2.80
Mn: 0.0000 0.0000 0.0000  8 Co 2.59
Mn: 0.0000 0.5000 0.5000  8 Co 2.59
Co: 0.5000 0.2258 0.0675  2 B 2.10
Co: 0.5000 0.7742 0.9325  2 B 2.10
Co: 0.5000 0.0675 0.7742  2 B 2.10
Co: 0.5000 0.7258 0.4325  2 B 2.10
Co: 0.5000 0.9325 0.2258  2 B 2.10
Co: 0.5000 0.2742 0.5675  2 B 2.10
Co: 0.5000 0.5675 0.7258  2 B 2.10
Co: 0.5000 0.4325 0.2742  2 B 2.10
Co: 0.5000 0.5000 0.0000  4 B 2.13
Co: 0.5000 0.0000 0.5000  4 B 2.13
B: 0.0000 0.1185 0.6185  6 Co 2.10-2.13
B: 0.0000 0.8815 0.3815  6 Co 2.10-2.13
B: 0.0000 0.6185 0.8815  6 Co 2.10-2.13
B: 0.0000 0.3815 0.1185  6 Co 2.10-2.13



No. 5
Computed, not measured: crystalline YMnCo2B at its relaxed geometry at the PBE level of DFT.

Properties
As for the space group: P4/mmm, No. 123. Its energy above the most stable polymorph in this dataset is 1548 meV/atom. The energy is -29.66 eV/cell.

Unit cell a=4.1030 b=5.1374 c=4.1030 alpha=90.00 beta=90.00 gamma=90.00
With the nearest neighbours (Å) after each atom.
Element x y z (fractional)
Y: 0.0000 0.5000 0.0000  2 Mn 2.57
B: 0.5000 0.5000 0.5000  4 Y 2.90
Mn: 0.0000 0.0000 0.0000  4 Co 2.05
Co: 0.0000 0.0000 0.5000  2 Mn 2.05
Co: 0.5000 0.0000 0.0000  2 Mn 2.05



No. 6
Computed, not measured: crystalline Y2MnCo5B2 at its relaxed geometry at the PBE level of DFT.

Properties
As for the space group: P4/mbm, No. 127. The energy is -147.03 eV/cell.

Unit cell a=3.0309 b=9.0712 c=9.0712 alpha=90.00 beta=90.00 gamma=90.00
With the nearest neighbours (Å) after each atom.
Element x y z (fractional)
Y: 0.0000 0.6784 0.1784  3 B 2.61-2.74, 10 Co 2.75-2.83
Y: 0.0000 0.3216 0.8216  3 B 2.61-2.74, 10 Co 2.75-2.83
Y: 0.0000 0.1784 0.3216  3 B 2.61-2.74, 10 Co 2.75-2.83
Y: 0.0000 0.8216 0.6784  3 B 2.61-2.74, 10 Co 2.75-2.83
Mn: 0.0000 0.0000 0.0000  8 Co 2.63
Mn: 0.0000 0.5000 0.5000  8 Co 2.63
Co: 0.5000 0.2275 0.0672  2 B 2.12
Co: 0.5000 0.7725 0.9328  2 B 2.12
Co: 0.5000 0.0672 0.7725  2 B 2.12
Co: 0.5000 0.7275 0.4328  2 B 2.12
Co: 0.5000 0.9328 0.2275  2 B 2.12
Co: 0.5000 0.2725 0.5672  2 B 2.12
Co: 0.5000 0.5672 0.7275  2 B 2.12
Co: 0.5000 0.4328 0.2725  2 B 2.12
Co: 0.5000 0.5000 0.0000  4 B 2.14
Co: 0.5000 0.0000 0.5000  4 B 2.14
B: 0.0000 0.1178 0.6178  6 Co 2.12-2.14
B: 0.0000 0.8822 0.3822  6 Co 2.12-2.14
B: 0.0000 0.6178 0.8822  6 Co 2.12-2.14
B: 0.0000 0.3822 0.1178  6 Co 2.12-2.14



No. 7
Computed, not measured: crystalline YMnCoB2 at its relaxed geometry at the PBE level of DFT.

Properties
As for the space group: I-4m2, No. 119. The energy is -38.34 eV/cell.

Unit cell a=3.5583 b=3.5583 c=5.4278 alpha=109.13 beta=109.13 gamma=90.00
With the nearest neighbours (Å) after each atom.
Element x y z (fractional)
Y: 0.0000 0.0000 0.0000  8 B 2.87, 4 Mn 2.99, 4 Co 2.99
Mn: 0.7500 0.2500 0.5000  4 B 2.05
Co: 0.2500 0.7500 0.5000  4 B 2.05
B: 0.6431 0.6431 0.2863  2 Mn 2.05, 2 Co 2.05
B: 0.3569 0.3569 0.7137  2 Mn 2.05, 2 Co 2.05



No. 8
Computed, not measured: crystalline YMnCo2B at its relaxed geometry at the PBE level of DFT.

Properties
As for the space group: P4/mmm, No. 123. Its energy above the most stable polymorph in this dataset is 0 meV/atom. The energy is -37.40 eV/cell.

Unit cell a=4.0048 b=4.0048 c=4.0345 alpha=90.00 beta=90.00 gamma=90.00
With the nearest neighbours (Å) after each atom.
Element x y z (fractional)
Y: 0.5000 0.5000 0.5000  4 Mn 2.83, 8 Co 2.84
B: 0.0000 0.0000 0.0000  4 Co 2.00, 2 Mn 2.02
Mn: 0.0000 0.0000 0.5000  2 B 2.02
Co: 0.0000 0.5000 0.0000  2 B 2.00
Co: 0.5000 0.0000 0.0000  2 B 2.00